Below is a relaxed structure of TbNdPS, with properties calculated at the PBE level.

Cell and atoms, written as POSCAR:
```
TbNdPS
1.0
-0.593 -3.991 0.301
3.169 -2.514 0.110
1.008 -1.689 6.773
Tb Nd P S
1 1 1 1
Direct
0.441 0.441 0.676 Tb
0.947 0.947 0.159 Nd
0.697 0.697 0.908 P
0.191 0.191 0.428 S
```

VASP energy, eV per atom: -6.592
ρ, g/cm3: 6.45
Symmetry: R3m (160)
E_form (uncorrected), eV/atom: -1.86
Density of states at the Fermi level, states/eV/f.u.: 1.56



Below is a relaxed structure of LiTaRe2, with properties calculated at the PBE level.

Cell and atoms, written as POSCAR:
```
LiTaRe2
1.0
-7.342 4.119 5.134
-5.667 3.567 7.238
-5.359 5.893 5.812
Li Re Ta
1 2 1
Direct
0.250 0.250 0.250 Li
0.998 0.998 0.998 Re
0.502 0.502 0.502 Re
0.750 0.750 0.750 Ta
```

VASP energy, eV per atom: -9.367
ρ, g/cm3: 14.64
Symmetry: R-3m (166)
Density of states at the Fermi level, states/eV/f.u.: 4.12
Formation enthalpy at 0 K, eV/atom: 0.30



Below is a relaxed structure of Ta2AuSe, with properties calculated at the PBE level.

Cell and atoms, written as POSCAR:
```
Ta2AuSe
1.0
-0.386 -3.061 0.256
0.573 -0.325 -3.025
7.005 -0.765 1.409
Au Se Ta
1 1 2
Direct
0.500 0.500 0.250 Au
0.500 0.500 0.750 Se
0.000 0.000 0.980 Ta
0.000 0.000 0.520 Ta
```

VASP energy, eV per atom: -7.720
ρ, g/cm3: 15.38
Symmetry: P4/mmm (123)
E_form (uncorrected), eV/atom: -0.10
Density of states at the Fermi level, states/eV/f.u.: 2.84



Below is a relaxed structure of LiGa3Cl, with properties calculated at the PBE level.

Cell and atoms, written as POSCAR:
```
LiGa3Cl
1.0
5.356 0.000 0.000
0.000 5.356 0.000
0.000 0.000 5.356
Li Ga Cl
1 3 1
Direct
0.500 0.500 0.500 Li
0.000 0.500 0.000 Ga
0.000 0.000 0.500 Ga
0.500 0.000 0.000 Ga
0.000 0.000 0.000 Cl
```

VASP energy, eV per atom: -2.368
ρ, g/cm3: 2.72
Symmetry: Pm-3m (221)
E_form (uncorrected), eV/atom: 0.20
Density of states at the Fermi level, states/eV/f.u.: 2.23



Below is a relaxed structure of Dy5S5N2, with properties calculated at the PBE level.

Cell and atoms, written as POSCAR:
```
Dy5S5N2
1.0
3.771 0.000 0.000
-1.885 6.275 -0.031
0.000 -3.054 10.207
Dy S N
5 5 2
Direct
0.100 0.201 0.381 Dy
0.654 0.308 0.798 Dy
0.346 0.692 0.202 Dy
0.900 0.799 0.619 Dy
0.000 0.000 0.000 Dy
0.500 0.000 0.500 S
0.663 0.327 0.063 S
0.749 0.498 0.358 S
0.251 0.502 0.642 S
0.337 0.673 0.937 S
0.043 0.087 0.796 N
0.957 0.913 0.204 N
```

VASP energy, eV per atom: -6.832
ρ, g/cm3: 6.89
Symmetry: C2/m (12)
E_form (uncorrected), eV/atom: -1.81
Density of states at the Fermi level, states/eV/f.u.: 5.45



Below is a relaxed structure of Zn2AsI8, with properties calculated at the PBE level.

Cell and atoms, written as POSCAR:
```
Zn2AsI8
1.0
7.065 0.466 0.658
0.960 8.698 0.941
0.911 -1.441 8.634
Zn As I
2 1 8
Direct
0.694 0.799 0.799 Zn
0.306 0.201 0.201 Zn
0.000 0.000 0.000 As
0.188 0.262 0.941 I
0.812 0.059 0.738 I
0.323 0.791 0.791 I
0.677 0.209 0.209 I
0.188 0.941 0.262 I
0.812 0.738 0.059 I
0.773 0.576 0.576 I
0.227 0.424 0.424 I
```

VASP energy, eV per atom: -2.101
ρ, g/cm3: 3.82
Symmetry: C2/m (12)
E_form (uncorrected), eV/atom: -0.32
Density of states at the Fermi level, states/eV/f.u.: 2.39



Below is a relaxed structure of CeTl2ZnS4, with properties calculated at the PBE level.

Cell and atoms, written as POSCAR:
```
CeTl2ZnS4
1.0
-2.320 5.485 -5.718
4.502 -4.399 -5.342
-6.012 -3.987 4.261
Ce Tl Zn S
2 4 2 8
Direct
0.000 0.500 0.000 Ce
0.000 0.500 0.500 Ce
0.500 0.000 0.000 Tl
0.500 0.000 0.500 Tl
0.000 0.000 0.500 Tl
0.500 0.500 0.000 Tl
0.500 0.500 0.500 Zn
0.000 0.000 0.000 Zn
0.207 0.716 0.949 S
0.784 0.293 0.551 S
0.216 0.707 0.449 S
0.793 0.284 0.051 S
0.812 0.775 0.996 S
0.725 0.688 0.504 S
0.275 0.312 0.496 S
0.188 0.225 0.004 S
```

VASP energy, eV per atom: -4.420
ρ, g/cm3: 5.90
Symmetry: C2/c (15)
E_form (uncorrected), eV/atom: -0.86
Density of states at the Fermi level, states/eV/f.u.: 0.62



Below is a relaxed structure of La4Tb2DyHo2, with properties calculated at the PBE level.

Cell and atoms, written as POSCAR:
```
La4Tb2DyHo2
1.0
-1.882 1.101 2.919
-6.067 -6.438 -3.757
3.782 -6.422 4.862
La Tb Dy Ho
4 2 1 2
Direct
0.777 0.554 0.673 La
0.223 0.446 0.327 La
0.555 0.111 0.328 La
0.445 0.889 0.672 La
0.889 0.778 0.329 Tb
0.111 0.222 0.671 Tb
0.000 0.000 0.000 Dy
0.334 0.668 0.002 Ho
0.666 0.332 0.998 Ho
```

VASP energy, eV per atom: -4.719
ρ, g/cm3: 7.41
Symmetry: C2/m (12)
Density of states at the Fermi level, states/eV/f.u.: 15.62
Formation enthalpy at 0 K, eV/atom: 0.03



Q: Number 7 is which compound?
A: CeTl2ZnS4



Q: The lowest density of states at the Fermi level belongs to which entry?
A: CeTl2ZnS4



Q: What is the VASP energy in the third record?
A: -7.720 eV per atom



Q: Which of these has the highest density of states at the Fermi level?
A: La4Tb2DyHo2